Here is a relaxed structure of BaSr2Cl from Alexandria via LeMat-Bulk. Energies are from PBE.

a b c (Å): 8.3660 8.3660 8.3660
angles (deg): 144.21 144.21 51.52
Element x y z (fractional)
Ba: 0.2500 0.7500 0.5000
Cl: 0.7500 0.2500 0.5000
Sr: 0.0000 0.0000 0.0000
Sr: 0.5000 0.5000 0.0000

Output
* uncorrected formation energy: -470 meV per atom
* energy above the lowest structure with this stoichiometry: 357 meV per atom